(1)
The following is a PBE-GGA calculation of a relaxed TmBPt2 crystal, from Alexandria.

Results
crystal system: hexagonal
total energy: -6.836 eV/atom
E_form: -1.029 eV per atom
SG: No. 180

Cell: 5.312 5.312 7.959 Å, 90.00 90.00 120.00°
Positions (direct):
Tm  0.500  0.000  0.667
B  0.500  0.000  0.167
Pt  0.152  0.848  0.000
Pt  0.848  0.152  0.000
Pt  0.304  0.152  0.333
Tm  0.500  0.500  0.000
Tm  0.000  0.500  0.333
Pt  0.848  0.696  0.667
B  0.000  0.500  0.833
B  0.500  0.500  0.500
Pt  0.696  0.848  0.333
Pt  0.152  0.304  0.667

=====

(2)
The following is a PBE-GGA calculation of a relaxed TmBPt2 crystal, from Alexandria.

Results
crystal system: trigonal
total energy: -6.325 eV/atom
E_form: -0.517 eV per atom
SG: No. 166

Cell: 3.771 3.771 5.891 Å, 71.33 71.33 60.00°
Positions (direct):
Tm  0.500  0.500  0.500
Pt  0.715  0.715  0.854
B  0.000  0.000  0.000
Pt  0.285  0.285  0.146

=====

(3)
The following is a PBE-GGA calculation of a relaxed TmBPt6 crystal, from Alexandria.

Results
crystal system: trigonal
total energy: -6.334 eV/atom
E_form: -0.410 eV per atom
SG: No. 166

Cell: 5.208 5.208 5.208 Å, 78.95 78.95 101.06°
Positions (direct):
Pt  0.714  0.098  0.286
Pt  0.902  0.286  0.714
Pt  0.714  0.714  0.902
Tm  0.500  0.500  0.500
Pt  0.098  0.714  0.286
Pt  0.286  0.902  0.714
B  0.000  0.000  0.000
Pt  0.286  0.286  0.098

=====

(4)
The following is a PBE-GGA calculation of a relaxed TmBPt4 crystal, from Alexandria.

Results
crystal system: monoclinic
total energy: -6.638 eV/atom
E_form: -0.753 eV per atom
SG: No. 12

Cell: 4.953 5.662 7.658 Å, 111.70 108.73 90.00°
Positions (direct):
Pt  0.384  0.636  0.768
Pt  0.000  0.751  0.000
Pt  0.195  0.695  0.390
B  0.678  0.500  0.000
Pt  0.616  0.364  0.232
Pt  0.616  0.868  0.232
Pt  0.805  0.305  0.610
Pt  0.384  0.132  0.768
Tm  0.806  0.806  0.611
Pt  0.000  0.249  0.000
B  0.322  0.500  0.000
Tm  0.194  0.194  0.389

=====

(5)
The following is a PBE-GGA calculation of a relaxed Tm3B2Pt9 crystal, from Alexandria.

Results
crystal system: hexagonal
total energy: -6.742 eV/atom
E_form: -0.947 eV per atom
SG: No. 194

Cell: 5.979 5.979 14.582 Å, 90.00 90.00 120.00°
Positions (direct):
Tm  0.000  0.000  0.250
Pt  0.016  0.508  0.250
Pt  0.679  0.840  0.919
Pt  0.492  0.984  0.250
Pt  0.840  0.679  0.419
Pt  0.508  0.492  0.750
Pt  0.840  0.160  0.419
Pt  0.321  0.160  0.419
Tm  0.000  0.000  0.750
Pt  0.840  0.160  0.081
Pt  0.160  0.840  0.919
B  0.333  0.667  0.661
Pt  0.160  0.321  0.581
Tm  0.667  0.333  0.921
Tm  0.333  0.667  0.079
B  0.667  0.333  0.339
Pt  0.321  0.160  0.081
Pt  0.679  0.840  0.581
Pt  0.160  0.321  0.919
Pt  0.984  0.492  0.750
Tm  0.333  0.667  0.421
Pt  0.160  0.840  0.581
Pt  0.492  0.508  0.250
B  0.667  0.333  0.161
B  0.333  0.667  0.839
Tm  0.667  0.333  0.579
Pt  0.508  0.016  0.750
Pt  0.840  0.679  0.081

=====

(6)
The following is a PBE-GGA calculation of a relaxed TmBPt5 crystal, from Alexandria.

Results
crystal system: tetragonal
total energy: -6.574 eV/atom
E_form: -0.667 eV per atom
SG: No. 123

Cell: 3.923 3.923 7.046 Å, 90.00 90.00 90.00°
Positions (direct):
Pt  0.000  0.500  0.192
Pt  0.500  0.000  0.192
B  0.500  0.500  0.000
Tm  0.000  0.000  0.500
Pt  0.000  0.500  0.808
Pt  0.500  0.500  0.500
Pt  0.500  0.000  0.808

=====

(7)
The following is a PBE-GGA calculation of a relaxed UBPt2 crystal, from Alexandria.

Results
crystal system: trigonal
total energy: -7.756 eV/atom
E_form: -0.244 eV per atom
SG: No. 166

Cell: 3.923 3.923 5.521 Å, 69.19 69.19 60.00°
Site moments in Bohr magnetons follow the coordinates.
Positions (direct):
B  0.000  0.000  0.000  -0.01
U  0.500  0.500  0.500  1.54
Pt  0.719  0.719  0.844  -0.04
Pt  0.281  0.281  0.156  -0.04

=====

(8)
The following is a PBE-GGA calculation of a relaxed UB4Pt crystal, from Alexandria.

Results
crystal system: orthorhombic
total energy: -7.684 eV/atom
E_form: -0.344 eV per atom
SG: No. 55

Cell: 3.559 6.053 11.763 Å, 90.00 90.00 90.00°
Site moments in Bohr magnetons follow the coordinates.
Positions (direct):
U  0.000  0.872  0.850  1.46
B  0.500  0.118  0.549  0.00
B  0.500  0.871  0.031  -0.01
B  0.500  0.469  0.195  -0.02
Pt  0.000  0.139  0.408  0.02
B  0.500  0.882  0.451  0.00
B  0.500  0.709  0.691  -0.02
U  0.000  0.372  0.650  1.46
B  0.500  0.791  0.191  -0.02
B  0.500  0.629  0.531  -0.01
Pt  0.000  0.639  0.092  0.02
Pt  0.000  0.861  0.592  0.02
B  0.500  0.531  0.805  -0.02
B  0.500  0.618  0.951  0.00
B  0.500  0.129  0.969  -0.01
U  0.000  0.628  0.350  1.46
B  0.500  0.031  0.695  -0.02
U  0.000  0.128  0.150  1.46
B  0.500  0.371  0.469  -0.01
B  0.500  0.969  0.305  -0.02
B  0.500  0.291  0.309  -0.02
B  0.500  0.209  0.809  -0.02
B  0.500  0.382  0.049  0.00
Pt  0.000  0.361  0.908  0.02

=====

(9)
The following is a PBE-GGA calculation of a relaxed UBPt crystal, from Alexandria.

Results
crystal system: orthorhombic
total energy: -8.122 eV/atom
E_form: -0.120 eV per atom
SG: No. 69

Cell: 3.308 5.192 6.141 Å, 85.08 74.37 71.42°
Site moments in Bohr magnetons follow the coordinates.
Positions (direct):
U  0.335  0.000  0.330  0.80
U  0.665  0.000  0.670  0.80
B  0.750  0.500  0.500  0.01
Pt  0.140  0.719  0.000  -0.02
Pt  0.860  0.281  0.000  -0.02
B  0.250  0.500  0.500  0.01

=====

(10)
The following is a PBE-GGA calculation of a relaxed V3BPt crystal, from Alexandria.

Results
crystal system: monoclinic
total energy: -8.291 eV/atom
E_form: -0.276 eV per atom
energy above the lowest structure with this stoichiometry: 0 meV per atom
SG: No. 12

Cell: 4.087 4.930 7.813 Å, 114.33 90.00 114.49°
Positions (direct):
V  0.130  0.260  0.664
V  0.133  0.265  0.200
V  0.870  0.740  0.336
Pt  0.377  0.755  0.570
V  0.377  0.755  0.066
B  0.120  0.241  0.926
B  0.880  0.759  0.074
V  0.867  0.735  0.800
V  0.623  0.245  0.934
Pt  0.623  0.245  0.430

=====

(11)
The following is a PBE-GGA calculation of a relaxed V2BPt crystal, from Alexandria.

Results
crystal system: tetragonal
total energy: -7.740 eV/atom
E_form: -0.001 eV per atom
SG: No. 122

Cell: 6.896 6.896 5.345 Å, 49.83 49.83 90.00°
Positions (direct):
B  0.500  0.500  0.000
V  0.375  0.469  0.750
Pt  0.750  0.250  0.500
V  0.531  0.125  0.250
B  0.250  0.750  0.500
Pt  0.000  0.000  0.000
V  0.219  0.625  0.250
V  0.875  0.781  0.750

=====

(12)
The following is a PBE-GGA calculation of a relaxed VB2Pt crystal, from Alexandria.

Results
crystal system: tetragonal
total energy: -6.648 eV/atom
E_form: 0.481 eV per atom
energy above the lowest structure with this stoichiometry: 265 meV per atom
SG: No. 122

Cell: 4.468 4.468 6.243 Å, 69.03 69.03 90.00°
Positions (direct):
B  0.106  0.625  0.250
V  0.250  0.750  0.500
B  0.375  0.356  0.750
B  0.875  0.894  0.750
Pt  0.000  0.000  0.000
Pt  0.750  0.250  0.500
V  0.500  0.500  0.000
B  0.644  0.125  0.250